Record 1
A plane-wave DFT calculation with PBE was carried out for a relaxed structure of DyY2Pd3Pb3.

Properties
Electronic total energy in eV per atom: -5.641

Cell: 3.8639 7.8499 7.8499 Å, 119.90 90.00 90.00°
With the nearest neighbours (Å) after each atom.
Fractional positions:
Dy 0.0000 0.5996 0.5996  5 Pd 3.07-3.14, 6 Pb 3.25-3.38
Pb 0.5000 0.7328 0.0003  4 Pd 2.85-2.92
Pb 0.5000 0.2668 0.2668  4 Pd 2.86-2.91
Pb 0.5000 0.0003 0.7328  4 Pd 2.85-2.92
Pd 0.5000 0.6666 0.3349  3 Pb 2.91-2.92, 2 Dy 3.07, 4 Y 3.08-3.09
Pd 0.5000 0.3349 0.6666  3 Pb 2.91-2.92, 2 Dy 3.07, 4 Y 3.08-3.09
Pd 0.0000 0.9992 0.9992  6 Pb 2.85-2.86, 1 Dy 3.14, 2 Y 3.14
Y 0.0000 0.3998 0.0000  5 Pd 3.08-3.14, 6 Pb 3.25-3.38
Y 0.0000 0.0000 0.3998  5 Pd 3.08-3.14, 6 Pb 3.25-3.38

Record 2
A plane-wave DFT calculation with PBE was carried out for a relaxed structure of NaFeAgTe2Se.

Properties
Electronic total energy in eV per atom: -3.866

Cell: 7.1423 7.1423 10.5424 Å, 90.00 90.00 148.40°
With the nearest neighbours (Å) after each atom.
Fractional positions:
Ag 0.5624 0.4376 0.2500  2 Se 2.65, 2 Te 2.70
Ag 0.4376 0.5624 0.7500  2 Se 2.65, 2 Te 2.70
Fe 0.0000 0.0000 0.0000  4 Te 2.69, 2 Se 2.80
Fe 0.0000 0.0000 0.5000  4 Te 2.69, 2 Se 2.80
Na 0.2465 0.7535 0.2500  2 Ag 3.19, 2 Se 3.20, 6 Te 3.21-3.53
Na 0.7535 0.2465 0.7500  2 Ag 3.19, 2 Se 3.20, 6 Te 3.21-3.53
Se 0.9312 0.0688 0.2500  2 Ag 2.65, 2 Fe 2.80
Se 0.0688 0.9312 0.7500  2 Ag 2.65, 2 Fe 2.80
Te 0.6347 0.3653 0.0120  2 Fe 2.69, 1 Ag 2.70
Te 0.6347 0.3653 0.4880  2 Fe 2.69, 1 Ag 2.70
Te 0.3653 0.6347 0.5120  2 Fe 2.69, 1 Ag 2.70
Te 0.3653 0.6347 0.9880  2 Fe 2.69, 1 Ag 2.70

Record 3
A plane-wave DFT calculation with PBE was carried out for a relaxed structure of NaDyGeTe3.

Properties
Electronic total energy in eV per atom: -4.067

Cell: 7.6833 7.6833 11.7026 Å, 90.00 90.00 145.41°
With the nearest neighbours (Å) after each atom.
Fractional positions:
Dy 0.0000 0.0000 0.0000  6 Te 3.14-3.25
Dy 0.0000 0.0000 0.5000  6 Te 3.14-3.25
Ge 0.4788 0.5212 0.2500  4 Te 2.84-2.86
Ge 0.5212 0.4788 0.7500  4 Te 2.84-2.86
Na 0.7660 0.2340 0.2500  6 Te 3.38-3.50
Na 0.2340 0.7660 0.7500  6 Te 3.38-3.50
Te 0.3608 0.6392 0.0572  1 Ge 2.84, 2 Dy 3.14
Te 0.0966 0.9034 0.2500  2 Ge 2.86
Te 0.3608 0.6392 0.4428  1 Ge 2.84, 2 Dy 3.14
Te 0.6392 0.3608 0.5572  1 Ge 2.84, 2 Dy 3.14
Te 0.9034 0.0966 0.7500  2 Ge 2.86
Te 0.6392 0.3608 0.9428  1 Ge 2.84, 2 Dy 3.14

Record 4
A plane-wave DFT calculation with PBE was carried out for a relaxed structure of Nd2Sm2CIBr2Cl2.

Properties
Excess energy over the best structure of this formula in the dataset in kJ per mole of atoms: 0.4

Cell: 9.0879 9.0879 8.6854 Å, 104.47 104.47 25.16°
With the nearest neighbours (Å) after each atom.
Fractional positions:
Br 0.1691 0.1691 0.3391  2 Nd 2.95, 1 Sm 2.96
Br 0.8309 0.8309 0.6609  2 Nd 2.95, 1 Sm 2.96
C 0.5000 0.5000 0.0000  2 Nd 2.51, 4 Sm 2.61
Cl 0.8311 0.8311 0.1455  3 Nd 2.88-3.18, 1 Sm 2.89
Cl 0.1689 0.1689 0.8545  3 Nd 2.88-3.18, 1 Sm 2.89
I 0.5000 0.5000 0.5000  4 Sm 3.31
Nd 0.6461 0.6461 0.0789  1 C 2.51
Nd 0.3539 0.3539 0.9211  1 C 2.51
Sm 0.9985 0.9985 0.1943  2 C 2.61, 1 Cl 2.89
Sm 0.0015 0.0015 0.8057  2 C 2.61, 1 Cl 2.89

Record 5
A plane-wave DFT calculation with PBE was carried out for a relaxed structure of Nb2Ni3.

Properties
Formation energy from the elements in eV per atom: 0.35

Cell: 6.2321 6.2322 5.7742 Å, 122.66 57.34 120.00°
With the nearest neighbours (Å) after each atom.
Fractional positions:
Nb 0.5974 0.4026 0.2077  6 Ni 2.44-2.55, 1 Nb 2.64
Nb 0.9026 0.0974 0.2923  6 Ni 2.44-2.55, 1 Nb 2.64
Nb 0.0974 0.9026 0.7077  6 Ni 2.44-2.55, 1 Nb 2.64
Nb 0.4026 0.5974 0.7923  6 Ni 2.44-2.55, 1 Nb 2.64
Ni 0.0116 0.5116 0.2500  4 Nb 2.44-2.55, 2 Ni 2.57
Ni 0.2500 0.9884 0.2500  4 Nb 2.44-2.55, 2 Ni 2.57
Ni 0.4884 0.7500 0.2500  4 Nb 2.44-2.55, 2 Ni 2.57
Ni 0.5116 0.2500 0.7500  4 Nb 2.44-2.55, 2 Ni 2.57
Ni 0.7500 0.0116 0.7500  4 Nb 2.44-2.55, 2 Ni 2.57
Ni 0.9884 0.4884 0.7500  4 Nb 2.44-2.55, 2 Ni 2.57

Record 6
A plane-wave DFT calculation with PBE was carried out for a relaxed structure of AcZn.

Properties
Formation energy from the elements in eV per atom: -0.12

Cell: 6.2042 13.6517 5.6834 Å, 90.00 90.00 90.00°
With the nearest neighbours (Å) after each atom.
Fractional positions:
Ac 0.0328 0.1929 0.0000  5 Zn 3.12-3.35
Ac 0.5245 0.3750 0.0000  4 Zn 3.19
Ac 0.0328 0.5571 0.0000  5 Zn 3.12-3.35
Ac 0.3380 0.8750 0.0000  6 Zn 3.28-3.53
Ac 0.3005 0.0571 0.5000  5 Zn 3.12-3.35
Ac 0.9953 0.3750 0.5000  6 Zn 3.28-3.53
Ac 0.3005 0.6929 0.5000  5 Zn 3.12-3.35
Ac 0.8089 0.8750 0.5000  4 Zn 3.19
Zn 0.5385 0.1072 0.0000  1 Zn 2.66
Zn 0.5385 0.6428 0.0000  1 Zn 2.66
Zn 0.8602 0.7718 0.0000  2 Zn 2.66-2.82
Zn 0.8602 0.9782 0.0000  2 Zn 2.66-2.82
Zn 0.7949 0.1429 0.5000  1 Zn 2.66
Zn 0.4730 0.2718 0.5000  2 Zn 2.66-2.82
Zn 0.4730 0.4782 0.5000  2 Zn 2.66-2.82
Zn 0.7949 0.6071 0.5000  1 Zn 2.66

Record 7
A plane-wave DFT calculation with PBE was carried out for a relaxed structure of HoLuTlTe3.

Properties
Excess energy over the best structure of this formula in the dataset in kJ per mole of atoms: 5.3

Cell: 7.9756 7.9756 11.9300 Å, 90.00 90.00 148.12°
With the nearest neighbours (Å) after each atom.
Fractional positions:
Ho 0.0000 0.0000 0.0000  6 Te 3.11-3.14
Ho 0.0000 0.0000 0.5000  6 Te 3.11-3.14
Lu 0.5632 0.4368 0.2500  4 Te 2.89-2.93
Lu 0.4368 0.5632 0.7500  4 Te 2.89-2.93
Te 0.6417 0.3583 0.0300  1 Lu 2.89, 2 Ho 3.11
Te 0.9365 0.0635 0.2500  2 Lu 2.93, 2 Ho 3.14
Te 0.6417 0.3583 0.4700  1 Lu 2.89, 2 Ho 3.11
Te 0.3583 0.6417 0.5300  1 Lu 2.89, 2 Ho 3.11
Te 0.0635 0.9365 0.7500  2 Lu 2.93, 2 Ho 3.14
Te 0.3583 0.6417 0.9700  1 Lu 2.89, 2 Ho 3.11
Tl 0.2486 0.7514 0.2500  2 Lu 3.59, 8 Te 3.62-3.79
Tl 0.7514 0.2486 0.7500  2 Lu 3.59, 8 Te 3.62-3.79

Record 8
A plane-wave DFT calculation with PBE was carried out for a relaxed structure of HfZrAs2.

Properties
Excess energy over the best structure of this formula in the dataset in kJ per mole of atoms: 0.2

Cell: 3.8180 3.8180 12.8700 Å, 90.00 90.00 120.00°
With the nearest neighbours (Å) after each atom.
Fractional positions:
As 0.6667 0.3333 0.0000  6 Hf 2.78
As 0.3333 0.6667 0.2464  3 Hf 2.65, 3 Zr 2.68
As 0.0000 0.0000 0.5000  6 Zr 2.80
As 0.3333 0.6667 0.7536  3 Hf 2.65, 3 Zr 2.68
Hf 0.0000 0.0000 0.1319  6 As 2.65-2.78
Hf 0.0000 0.0000 0.8681  6 As 2.65-2.78
Zr 0.6667 0.3333 0.3653  6 As 2.68-2.80
Zr 0.6667 0.3333 0.6347  6 As 2.68-2.80

Record 9
A plane-wave DFT calculation with PBE was carried out for a relaxed structure of LuZrCuPt.

Properties
Formation energy from the elements in eV per atom: -0.48
Excess energy over the best structure of this formula in the dataset in kJ per mole of atoms: 17.8

Cell: 4.6354 4.6354 4.6354 Å, 60.00 60.00 60.00°
With the nearest neighbours (Å) after each atom.
Fractional positions:
Cu 0.7500 0.7500 0.7500  4 Pt 2.84, 4 Lu 2.84
Lu 0.0000 0.0000 0.0000  4 Zr 2.84, 4 Cu 2.84
Pt 0.5000 0.5000 0.5000  4 Zr 2.84, 4 Cu 2.84
Zr 0.2500 0.2500 0.2500  4 Pt 2.84, 4 Lu 2.84

Record 10
A plane-wave DFT calculation with PBE was carried out for a relaxed structure of MgBeZnCo.

Properties
Excess energy over the best structure of this formula in the dataset in kJ per mole of atoms: 3.4

Cell: 4.1153 4.1153 4.1153 Å, 60.00 60.00 60.00°
With the nearest neighbours (Å) after each atom.
Fractional positions:
Be 0.7500 0.7500 0.7500  4 Co 2.52, 4 Zn 2.52
Co 0.5000 0.5000 0.5000  4 Mg 2.52, 4 Be 2.52
Mg 0.2500 0.2500 0.2500  4 Co 2.52, 4 Zn 2.52
Zn 0.0000 0.0000 0.0000  4 Mg 2.52, 4 Be 2.52

Record 11
A plane-wave DFT calculation with PBE was carried out for a relaxed structure of CsNbFeSe3.

Properties
Excess energy over the best structure of this formula in the dataset in kJ per mole of atoms: 4.4

Cell: 8.6207 8.6207 9.8292 Å, 90.00 90.00 155.34°
With the nearest neighbours (Å) after each atom.
Fractional positions:
Cs 0.2521 0.7479 0.2500  8 Se 3.57-3.79, 2 Cs 3.68
Cs 0.7479 0.2521 0.7500  8 Se 3.57-3.79, 2 Cs 3.68
Fe 0.5269 0.4731 0.2500  4 Se 2.37-2.42
Fe 0.4731 0.5269 0.7500  4 Se 2.37-2.42
Nb 0.0000 0.0000 0.0000  6 Se 2.67-2.70
Nb 0.0000 0.0000 0.5000  6 Se 2.67-2.70
Se 0.6100 0.3900 0.0552  1 Fe 2.37
Se 0.9340 0.0660 0.2500  2 Fe 2.42, 2 Nb 2.70
Se 0.6100 0.3900 0.4448  1 Fe 2.37
Se 0.3900 0.6100 0.5552  1 Fe 2.37
Se 0.0660 0.9340 0.7500  2 Fe 2.42, 2 Nb 2.70
Se 0.3900 0.6100 0.9448  1 Fe 2.37

Record 12
A plane-wave DFT calculation with PBE was carried out for a relaxed structure of NbPdPt.

Properties
Formation energy from the elements in eV per atom: -0.58
Excess energy over the best structure of this formula in the dataset in kJ per mole of atoms: 2.2

Cell: 4.8942 4.8942 4.8942 Å, 146.30 131.98 59.95°
With the nearest neighbours (Å) after each atom.
Fractional positions:
Nb 0.0002 0.0002 0.0000  5 Pt 2.82-2.83, 5 Pd 2.82-2.83, 2 Nb 2.84
Pd 0.3337 0.3337 0.0000  5 Pt 2.82-2.83, 5 Nb 2.82-2.83, 2 Pd 2.84
Pt 0.6660 0.6660 0.0000  5 Pd 2.82-2.83, 5 Nb 2.82-2.83, 2 Pt 2.84

| no. | volume (Å³ per cell) |
| --- | --- |
| 1 | 206 |
| 2 | 282 |
| 3 | 392 |
| 4 | 295 |
| 5 | 152 |
| 6 | 481 |
| 7 | 401 |
| 8 | 162 |
| 9 | 70 |
| 10 | 49 |
| 11 | 305 |
| 12 | 48 |